Compound: ZrBAs
Source: the Alexandria database
Functional: GGA-PBE
Structure: optimized geometry

Structure (extended XYZ):
```
6
Lattice="6.818 -1.614 0.000 6.818 1.614 0.000 -0.210 0.000 4.465" Properties=species:S:1:pos:R:3 pbc="T T T"
Zr 0.000 0.000 0.000
Zr 9.502 0.000 1.464
B 2.265 0.000 3.648
B 8.389 0.000 3.584
As 4.233 0.000 4.417
As 6.819 0.000 2.177
```

electronic total energy = -7.081 eV per atom
excess energy over the best structure of this formula in the dataset = 78 kJ/mol of formula units

Compound: ZrBAs3
Source: the Alexandria database
Functional: GGA-PBE
Structure: optimized geometry

Structure (extended XYZ):
```
5
Lattice="5.177 0.000 0.000 0.000 5.177 0.000 0.000 0.000 5.177" Properties=species:S:1:pos:R:3 pbc="T T T"
Zr 0.000 0.000 0.000
B 2.588 2.588 2.588
As 0.000 0.000 2.588
As 0.000 2.588 0.000
As 2.588 0.000 0.000
```

electronic total energy = -4.693 eV per atom
excess energy over the best structure of this formula in the dataset = 351 kJ/mol of formula units

Compound: ZrBAs
Source: the Alexandria database
Functional: GGA-PBE
Structure: optimized geometry

Structure (extended XYZ):
```
6
Lattice="3.272 0.000 0.000 -1.636 2.834 0.000 0.000 0.000 9.557" Properties=species:S:1:pos:R:3 pbc="T T T"
Zr 0.000 0.000 1.705
Zr 0.000 0.000 7.852
B 0.000 1.889 9.539
B 1.636 0.945 0.019
As 0.000 1.889 3.817
As 1.636 0.945 5.740
```

electronic total energy = -7.261 eV per atom
excess energy over the best structure of this formula in the dataset = 26 kJ/mol of formula units

Compound: Ba3As
Source: the Alexandria database
Functional: GGA-PBE
Structure: optimized geometry

Structure (extended XYZ):
```
4
Lattice="4.166 0.000 0.000 0.000 4.166 0.000 0.000 0.000 11.162" Properties=species:S:1:pos:R:3 pbc="T T T"
Ba 0.000 0.000 0.000
Ba 2.083 2.083 3.859
Ba 2.083 2.083 7.302
As 0.000 0.000 5.581
```

electronic total energy = -3.159 eV per atom
excess energy over the best structure of this formula in the dataset = 24 kJ/mol of formula units

Compound: Ba3As
Source: the Alexandria database
Functional: GGA-PBE
Structure: optimized geometry

Structure (extended XYZ):
```
4
Lattice="-2.200 6.382 3.881 2.200 -6.382 3.881 2.200 6.382 -3.881" Properties=species:S:1:pos:R:3 pbc="T T T"
Ba 0.000 0.000 0.000
Ba 2.200 4.277 -0.286
Ba 0.000 2.104 3.595
As 2.200 0.000 2.366
```

electronic total energy = -3.177 eV per atom
excess energy over the best structure of this formula in the dataset = 17 kJ/mol of formula units

Compound: Ba4As5
Source: the Alexandria database
Functional: GGA-PBE
Structure: optimized geometry

Structure (extended XYZ):
```
9
Lattice="-6.081 6.081 2.304 6.081 -6.081 2.304 6.081 6.081 -2.304" Properties=species:S:1:pos:R:3 pbc="T T T"
Ba 3.084 0.000 0.000
Ba 9.079 0.000 0.000
Ba 0.000 3.084 0.000
Ba 0.000 9.079 0.000
As 0.000 0.000 0.000
As 3.467 3.467 0.000
As 2.614 -2.614 2.304
As -2.614 2.614 2.304
As 2.614 2.614 2.304
```

electronic total energy = -4.173 eV per atom

Compound: Ba3As
Source: the Alexandria database
Functional: GGA-PBE
Structure: optimized geometry

Structure (extended XYZ):
```
8
Lattice="5.743 -7.761 0.000 5.743 7.761 0.000 0.000 0.000 4.548" Properties=species:S:1:pos:R:3 pbc="T T T"
Ba 5.743 5.826 3.411
Ba 3.769 2.092 3.411
Ba 3.769 -2.092 1.137
Ba 7.717 2.092 3.411
Ba 7.717 -2.092 1.137
Ba 5.743 -5.826 1.137
As 5.743 3.548 1.137
As 5.743 -3.548 3.411
```

electronic total energy = -3.179 eV per atom
excess energy over the best structure of this formula in the dataset = 16 kJ/mol of formula units

Compound: Ba2As3
Source: the Alexandria database
Functional: GGA-PBE
Structure: optimized geometry

Structure (extended XYZ):
```
5
Lattice="2.562 1.479 6.932 -2.562 1.479 6.932 0.000 -2.958 6.932" Properties=species:S:1:pos:R:3 pbc="T T T"
Ba 0.000 0.000 1.933
Ba 0.000 0.000 18.865
As 0.000 0.000 7.206
As 0.000 0.000 10.399
As 0.000 0.000 13.592
```

electronic total energy = -4.225 eV per atom

| no. | energy of formation from the pure elements (kJ per mole of atoms) |
| --- | --- |
| 1 | -44.0 |
| 2 | 110.2 |
| 3 | -61.4 |
| 4 | -53.5 |
| 5 | -55.2 |
| 6 | -71.0 |
| 7 | -55.4 |
| 8 | -64.3 |